First-principles (GGA-PBE) data for a relaxed structure of NdAl4Pd2, as listed in Alexandria via LeMat-Bulk.

Lattice parameters (Å, degrees): 17.4842 4.3634 6.6451 90.00 90.00 90.00
Last column: nearest neighbours and their distance in Å.
Element x y z (fractional)
Nd 0.1378 0.2500 0.0096  10 Al 3.06-3.42, 4 Pd 3.22-3.36
Nd 0.3622 0.7500 0.5096  10 Al 3.06-3.42, 4 Pd 3.22-3.36
Nd 0.6378 0.2500 0.4904  10 Al 3.06-3.42, 4 Pd 3.22-3.36
Nd 0.8622 0.7500 0.9904  10 Al 3.06-3.42, 4 Pd 3.22-3.36
Al 0.0358 0.7500 0.8237  3 Pd 2.57-2.82, 2 Al 2.84
Al 0.0723 0.2500 0.4946  4 Pd 2.52-2.80
Al 0.1864 0.7500 0.3206  4 Pd 2.61-2.65, 1 Al 2.67
Al 0.1938 0.7500 0.7221  3 Pd 2.55-2.58, 2 Al 2.67-2.84
Al 0.3062 0.2500 0.2221  3 Pd 2.55-2.58, 2 Al 2.67-2.84
Al 0.3136 0.2500 0.8206  4 Pd 2.61-2.65, 1 Al 2.67
Al 0.4277 0.7500 0.9946  4 Pd 2.52-2.80
Al 0.4642 0.2500 0.3237  3 Pd 2.57-2.82, 2 Al 2.84
Al 0.5358 0.7500 0.6763  3 Pd 2.57-2.82, 2 Al 2.84
Al 0.5723 0.2500 0.0054  4 Pd 2.52-2.80
Al 0.6864 0.7500 0.1794  4 Pd 2.61-2.65, 1 Al 2.67
Al 0.6938 0.7500 0.7779  3 Pd 2.55-2.58, 2 Al 2.67-2.84
Al 0.8062 0.2500 0.2779  3 Pd 2.55-2.58, 2 Al 2.67-2.84
Al 0.8136 0.2500 0.6794  4 Pd 2.61-2.65, 1 Al 2.67
Al 0.9277 0.7500 0.5054  4 Pd 2.52-2.80
Al 0.9642 0.2500 0.1763  3 Pd 2.57-2.82, 2 Al 2.84
Pd 0.0372 0.7500 0.2482  7 Al 2.57-2.82
Pd 0.2162 0.2500 0.5235  7 Al 2.52-2.62
Pd 0.2838 0.7500 0.0235  7 Al 2.52-2.62
Pd 0.4628 0.2500 0.7482  7 Al 2.57-2.82
Pd 0.5372 0.7500 0.2518  7 Al 2.57-2.82
Pd 0.7162 0.2500 0.9765  7 Al 2.52-2.62
Pd 0.7838 0.7500 0.4765  7 Al 2.52-2.62
Pd 0.9628 0.2500 0.7518  7 Al 2.57-2.82

Energy above the most stable polymorph in this dataset, eV/atom: 0.0000
DOS(E_F), states/eV/f.u.: 2.90
Formation energy, meV/atom: -751

First-principles (GGA-PBE) data for a relaxed structure of NdAlPd3, as listed in Alexandria via LeMat-Bulk.

Lattice parameters (Å, degrees): 9.0680 9.0680 9.0680 146.29 146.29 48.42
Last column: nearest neighbours and their distance in Å.
Element x y z (fractional)
Nd 0.1225 0.1225 0.0000  6 Pd 2.96-3.08
Nd 0.8775 0.8775 0.0000  6 Pd 2.96-3.08
Al 0.2500 0.7500 0.5000  4 Pd 2.41
Al 0.5000 0.5000 0.0000  8 Pd 2.49-2.66
Pd 0.3711 0.1269 0.7557  2 Al 2.41-2.49, 2 Pd 2.57-2.69
Pd 0.3711 0.6154 0.2443  2 Al 2.41-2.49, 2 Pd 2.57-2.69
Pd 0.3846 0.6289 0.7557  2 Al 2.41-2.49, 2 Pd 2.57-2.69
Pd 0.5254 0.0254 0.5000  2 Al 2.66, 2 Pd 2.88
Pd 0.8731 0.6289 0.2443  2 Al 2.41-2.49, 2 Pd 2.57-2.69
Pd 0.9746 0.4746 0.5000  2 Al 2.66, 2 Pd 2.88

Energy above the most stable polymorph in this dataset, eV/atom: 0.2703
DOS(E_F), states/eV/f.u.: 2.55
Formation energy, meV/atom: -481

First-principles (GGA-PBE) data for a relaxed structure of Nd2AlPd, as listed in Alexandria via LeMat-Bulk.

Lattice parameters (Å, degrees): 3.6291 3.6291 7.5772 90.00 90.00 90.00
Last column: nearest neighbours and their distance in Å.
Element x y z (fractional)
Nd 0.0000 0.0000 0.2369  4 Pd 3.13, 4 Al 3.25
Nd 0.0000 0.0000 0.7631  4 Pd 3.13, 4 Al 3.25
Al 0.5000 0.5000 0.5000  8 Nd 3.25, 4 Al 3.63
Pd 0.5000 0.5000 0.0000  8 Nd 3.13

Energy above the most stable polymorph in this dataset, eV/atom: 0.0000
DOS(E_F), states/eV/f.u.: 1.71
Formation energy, meV/atom: -537

First-principles (GGA-PBE) data for a relaxed structure of Nd3Al2Pd7, as listed in Alexandria via LeMat-Bulk.

Lattice parameters (Å, degrees): 14.3298 14.3298 14.3298 163.37 163.37 23.60
Last column: nearest neighbours and their distance in Å.
Element x y z (fractional)
Nd 0.0000 0.0000 0.0000  12 Pd 2.93-3.02
Nd 0.1766 0.1766 0.0000  5 Pd 3.03-3.13, 4 Al 3.25
Nd 0.8234 0.8234 0.0000  5 Pd 3.03-3.13, 4 Al 3.25
Al 0.3737 0.3737 0.0000  5 Pd 2.47-2.50
Al 0.6263 0.6263 0.0000  5 Pd 2.47-2.50
Pd 0.0783 0.5783 0.5000  2 Al 2.47
Pd 0.2845 0.2845 0.0000  1 Al 2.50
Pd 0.4217 0.9217 0.5000  2 Al 2.47
Pd 0.5000 0.5000 0.0000  4 Nd 2.93, 8 Pd 3.02
Pd 0.5783 0.0783 0.5000  2 Al 2.47
Pd 0.7155 0.7155 0.0000  1 Al 2.50
Pd 0.9217 0.4217 0.5000  2 Al 2.47

DOS(E_F), states/eV/f.u.: 4.52
Formation energy, meV/atom: -771

First-principles (GGA-PBE) data for a relaxed structure of Nd4Al3Pd, as listed in Alexandria via LeMat-Bulk.

Lattice parameters (Å, degrees): 3.8584 4.5497 12.0067 90.00 90.00 90.00
Last column: nearest neighbours and their distance in Å.
Element x y z (fractional)
Nd 0.0000 0.0000 0.0000  4 Al 3.12, 2 Pd 3.13
Nd 0.0000 0.5000 0.2847  4 Pd 3.13, 3 Al 3.16-3.49
Nd 0.5000 0.0000 0.4840  6 Al 3.18-3.27, 1 Pd 3.34
Nd 0.5000 0.5000 0.7960  7 Al 3.18-3.37
Al 0.0000 0.0000 0.7038  2 Al 2.75
Al 0.0000 0.5000 0.5749  2 Al 2.75
Al 0.5000 0.5000 0.0767  2 Pd 2.75
Pd 0.5000 0.0000 0.2058  2 Al 2.75

DOS(E_F), states/eV/f.u.: 7.32
Formation energy, meV/atom: -444

First-principles (GGA-PBE) data for a relaxed structure of NdAl2Pd, as listed in Alexandria via LeMat-Bulk.

Lattice parameters (Å, degrees): 3.2388 3.2388 7.4385 90.00 90.00 90.00
Last column: nearest neighbours and their distance in Å.
Element x y z (fractional)
Nd 0.0000 0.0000 0.0000  4 Nd 3.24, 8 Al 3.25
Al 0.5000 0.5000 0.3100  4 Pd 2.69, 1 Al 2.83
Al 0.5000 0.5000 0.6900  4 Pd 2.69, 1 Al 2.83
Pd 0.0000 0.0000 0.5000  8 Al 2.69

DOS(E_F), states/eV/f.u.: 1.71
Formation energy, meV/atom: -586

First-principles (GGA-PBE) data for a relaxed structure of PmNdAl2Pd5, as listed in Alexandria via LeMat-Bulk.

Lattice parameters (Å, degrees): 4.3181 4.3181 9.2354 90.00 90.00 90.00
Last column: nearest neighbours and their distance in Å.
Element x y z (fractional)
Pm 0.0000 0.0000 0.0000  8 Pd 3.33, 8 Al 3.33
Nd 0.0000 0.0000 0.5000  12 Pd 3.00-3.05
Al 0.5000 0.5000 0.1443  4 Pd 2.47, 1 Al 2.67
Al 0.5000 0.5000 0.8557  4 Pd 2.47, 1 Al 2.67
Pd 0.0000 0.5000 0.2743  2 Al 2.47
Pd 0.0000 0.5000 0.7257  2 Al 2.47
Pd 0.5000 0.0000 0.2743  2 Al 2.47
Pd 0.5000 0.0000 0.7257  2 Al 2.47
Pd 0.5000 0.5000 0.5000  8 Pd 3.00, 4 Nd 3.05, 2 Al 3.29

DOS(E_F), states/eV/f.u.: 7.12
Formation energy, meV/atom: -800

First-principles (GGA-PBE) data for a relaxed structure of Nd2Al5Pd2Pt, as listed in Alexandria via LeMat-Bulk.

Lattice parameters (Å, degrees): 10.2004 10.2004 3.6863 90.00 90.00 90.00
Last column: nearest neighbours and their distance in Å.
Element x y z (fractional)
Nd 0.1870 0.3130 0.0000  3 Pd 2.86-3.17
Nd 0.3130 0.8130 0.0000  3 Pd 2.86-3.17
Nd 0.6870 0.1870 0.0000  3 Pd 2.86-3.17
Nd 0.8130 0.6870 0.0000  3 Pd 2.86-3.17
Al 0.0000 0.5000 0.5000  4 Pd 2.48
Al 0.0457 0.8084 0.5000  2 Pt 2.73, 2 Pd 2.79, 2 Al 2.84
Al 0.1916 0.0457 0.5000  2 Pt 2.73, 2 Pd 2.79, 2 Al 2.84
Al 0.3084 0.5457 0.5000  2 Pt 2.73, 2 Pd 2.79, 2 Al 2.84
Al 0.4543 0.3084 0.5000  2 Pt 2.73, 2 Pd 2.79, 2 Al 2.84
Al 0.5000 0.0000 0.5000  4 Pd 2.48
Al 0.5457 0.6916 0.5000  2 Pt 2.73, 2 Pd 2.79, 2 Al 2.84
Al 0.6916 0.4543 0.5000  2 Pt 2.73, 2 Pd 2.79, 2 Al 2.84
Al 0.8084 0.9543 0.5000  2 Pt 2.73, 2 Pd 2.79, 2 Al 2.84
Al 0.9543 0.1916 0.5000  2 Pt 2.73, 2 Pd 2.79, 2 Al 2.84
Pd 0.1150 0.6150 0.0000  2 Al 2.48
Pd 0.3850 0.1150 0.0000  2 Al 2.48
Pd 0.6150 0.8850 0.0000  2 Al 2.48
Pd 0.8850 0.3850 0.0000  2 Al 2.48
Pt 0.0000 0.0000 0.0000  8 Al 2.73
Pt 0.5000 0.5000 0.0000  8 Al 2.73

DOS(E_F), states/eV/f.u.: 7.71
Formation energy, meV/atom: -690

First-principles (GGA-PBE) data for a relaxed structure of Nd2Al3PdPt12, as listed in Alexandria via LeMat-Bulk.

Lattice parameters (Å, degrees): 7.8095 7.8095 7.8095 63.67 63.67 63.67
Last column: nearest neighbours and their distance in Å.
Element x y z (fractional)
Nd 0.1136 0.1136 0.1136  6 Pt 2.82-2.83
Nd 0.8864 0.8864 0.8864  6 Pt 2.82-2.83
Al 0.0000 0.5000 0.5000  6 Pt 2.42-2.45
Al 0.5000 0.0000 0.5000  6 Pt 2.42-2.45
Al 0.5000 0.5000 0.0000  6 Pt 2.42-2.45
Pd 0.5000 0.5000 0.5000  6 Pt 2.58
Pt 0.1152 0.6375 0.6375  1 Al 2.42, 1 Pd 2.58
Pt 0.1329 0.1329 0.6082  2 Al 2.45
Pt 0.1329 0.6082 0.1329  2 Al 2.45
Pt 0.3625 0.3625 0.8848  1 Al 2.42, 1 Pd 2.58
Pt 0.3625 0.8848 0.3625  1 Al 2.42, 1 Pd 2.58
Pt 0.3918 0.8671 0.8671  2 Al 2.45
Pt 0.6082 0.1329 0.1329  2 Al 2.45
Pt 0.6375 0.1152 0.6375  1 Al 2.42, 1 Pd 2.58
Pt 0.6375 0.6375 0.1152  1 Al 2.42, 1 Pd 2.58
Pt 0.8671 0.3918 0.8671  2 Al 2.45
Pt 0.8671 0.8671 0.3918  2 Al 2.45
Pt 0.8848 0.3625 0.3625  1 Al 2.42, 1 Pd 2.58

DOS(E_F), states/eV/f.u.: 8.16
Formation energy, meV/atom: -395

First-principles (GGA-PBE) data for a relaxed structure of NdAl4PdPt2, as listed in Alexandria via LeMat-Bulk.

Lattice parameters (Å, degrees): 9.3229 9.3229 9.3229 26.59 26.59 26.59
Last column: nearest neighbours and their distance in Å.
Element x y z (fractional)
Nd 0.0000 0.0000 0.0000  6 Al 3.13
Al 0.1330 0.1330 0.1330  3 Pd 2.64, 4 Pt 2.65-2.76
Al 0.4042 0.4042 0.4042  3 Pt 2.58, 1 Pd 2.58
Al 0.5958 0.5958 0.5958  3 Pt 2.58, 1 Pd 2.58
Al 0.8670 0.8670 0.8670  3 Pd 2.64, 4 Pt 2.65-2.76
Pd 0.5000 0.5000 0.5000  8 Al 2.58-2.64
Pt 0.2353 0.2353 0.2353  7 Al 2.58-2.76
Pt 0.7647 0.7647 0.7647  7 Al 2.58-2.76

DOS(E_F), states/eV/f.u.: 3.93
Formation energy, meV/atom: -895

What did the sixth record say?
First-principles (GGA-PBE) data for a relaxed structure of NdAl2Pd, as listed in Alexandria via LeMat-Bulk.

Lattice parameters (Å, degrees): 3.2388 3.2388 7.4385 90.00 90.00 90.00
Last column: nearest neighbours and their distance in Å.
Element x y z (fractional)
Nd 0.0000 0.0000 0.0000  4 Nd 3.24, 8 Al 3.25
Al 0.5000 0.5000 0.3100  4 Pd 2.69, 1 Al 2.83
Al 0.5000 0.5000 0.6900  4 Pd 2.69, 1 Al 2.83
Pd 0.0000 0.0000 0.5000  8 Al 2.69

DOS(E_F), states/eV/f.u.: 1.71
Formation energy, meV/atom: -586

Q: What is the formula in the ninth record?
A: Nd2Al3PdPt12